Computed, not measured: NdCdPd after structural relaxation at the PBE-GGA level of DFT.

Computed properties:
- crystal system = monoclinic
- formation enthalpy at 0 K (meV/atom) = -581

a b c (Å): 11.3771 4.7250 5.4014
angles (deg): 90.00 99.30 90.00
Space group C2/m (No. 12)
One atom of each set of equivalent atoms:
Nd  0.1240  0.0000  0.3000 [4 per cell]
Cd  0.0826  0.5000  0.7594 [4 per cell]
Pd  0.2226  0.0000  0.8335 [4 per cell]



Computed, not measured: Be2CdSi after structural relaxation at the PBE-GGA level of DFT.

Computed properties:
- crystal system = cubic
- energy relative to the elements, uncorrected (eV per atom) = 0.672

a b c (Å): 6.0606 6.0606 6.0606
angles (deg): 90.00 90.00 90.00
Space group Fm-3m (No. 225)
One atom of each set of equivalent atoms:
Be  0.2500  0.2500  0.2500 [8 per cell]
Cd  0.0000  0.0000  0.0000 [4 per cell]
Si  0.0000  0.0000  0.5000 [4 per cell]



Computed, not measured: Y3Al6Au5 after structural relaxation at the PBE-GGA level of DFT.

Computed properties:
- crystal system = orthorhombic
- formation enthalpy at 0 K (meV/atom) = -708

a b c (Å): 4.3624 12.9336 9.6106
angles (deg): 90.00 90.00 90.00
Space group Pmmn (No. 59, origin choice 2)
One atom of each set of equivalent atoms:
Y  0.2500  0.0512  0.2482 [4 per cell]
Y  0.2500  0.7500  0.2492 [2 per cell]
Al  0.2500  0.0768  0.5992 [4 per cell]
Al  0.2500  0.2500  0.0438 [2 per cell]
Al  0.2500  0.2500  0.4296 [2 per cell]
Al  0.2500  0.5974  0.9798 [4 per cell]
Au  0.2500  0.0945  0.8706 [4 per cell]
Au  0.2500  0.6244  0.5287 [4 per cell]
Au  0.2500  0.7500  0.7899 [2 per cell]



Computed, not measured: ScPd2N after structural relaxation at the PBE-GGA level of DFT.

Computed properties:
- crystal system = tetragonal
- energy relative to the elements, uncorrected (eV per atom) = 0.073

a b c (Å): 4.9054 4.9054 11.9346
angles (deg): 90.00 90.00 90.00
Space group I-42d (No. 122)
One atom of each set of equivalent atoms:
Sc  0.0000  0.0000  0.0000 [4 per cell]
Pd  0.1289  0.2500  0.6250 [8 per cell]
N  0.0000  0.0000  0.5000 [4 per cell]



Please write out number 1 again, unchanged.
Computed, not measured: NdCdPd after structural relaxation at the PBE-GGA level of DFT.

Computed properties:
- crystal system = monoclinic
- formation enthalpy at 0 K (meV/atom) = -581

a b c (Å): 11.3771 4.7250 5.4014
angles (deg): 90.00 99.30 90.00
Space group C2/m (No. 12)
One atom of each set of equivalent atoms:
Nd  0.1240  0.0000  0.3000 [4 per cell]
Cd  0.0826  0.5000  0.7594 [4 per cell]
Pd  0.2226  0.0000  0.8335 [4 per cell]